1.
Computed, not measured: an optimized crystal structure of P3OsW at the PBE level of DFT.

```
data_P3OsW
_chemical_formula_sum 'P3 Os1 W1'
_symmetry_space_group_name_H-M 'P 1'
_symmetry_Int_Tables_number 1
_symmetry_space_group_name_Hall 'P 1'
_cell_length_a 4.629
_cell_length_b 4.629
_cell_length_c 4.629
_cell_angle_alpha 90.00
_cell_angle_beta 90.00
_cell_angle_gamma 90.00
loop_
_atom_site_label
_atom_site_type_symbol
_atom_site_fract_x
_atom_site_fract_y
_atom_site_fract_z
P1 P 0.000 0.000 0.500
P2 P 0.000 0.500 0.000
P3 P 0.500 0.000 0.000
Os1 Os 0.500 0.500 0.500
W1 W 0.000 0.000 0.000
```

Space group ... No. 221
Energy ... -6.6403 eV per atom
ρ ... 7.82 g/cm³
Formation energy ... 1.44 eV per atom
Spin magnetization ... 1.84 μB per formula unit
Density of states at the Fermi level ... 0.911 states/eV/atom


2.
Computed, not measured: an optimized crystal structure of POsW at the PBE level of DFT.

```
data_POsW
_chemical_formula_sum 'P4 Os4 W4'
_symmetry_space_group_name_H-M 'P 1'
_symmetry_Int_Tables_number 1
_symmetry_space_group_name_Hall 'P 1'
_cell_length_a 2.981
_cell_length_b 4.845
_cell_length_c 12.187
_cell_angle_alpha 90.00
_cell_angle_beta 90.00
_cell_angle_gamma 90.00
loop_
_atom_site_label
_atom_site_type_symbol
_atom_site_fract_x
_atom_site_fract_y
_atom_site_fract_z
P1 P 0.000 0.000 0.000
P2 P 0.000 0.500 0.500
P3 P 0.500 0.000 0.500
P4 P 0.500 0.500 0.000
Os1 Os 0.000 0.000 0.652
Os2 Os 0.000 0.500 0.152
Os3 Os 0.500 0.000 0.152
Os4 Os 0.500 0.500 0.652
W1 W 0.000 0.000 0.339
W2 W 0.000 0.500 0.839
W3 W 0.500 0.000 0.839
W4 W 0.500 0.500 0.339
```

Space group ... No. 42
Energy ... -9.3904 eV per atom
ρ ... 15.28 g/cm³
Formation energy ... 0.47 eV per atom
Spin magnetization ... 0.00 μB per formula unit
Density of states at the Fermi level ... 0.938 states/eV/atom


3.
Computed, not measured: an optimized crystal structure of YP2Os at the PBE level of DFT.

```
data_YP2Os
_chemical_formula_sum 'Y2 P4 Os2'
_symmetry_space_group_name_H-M 'P 1'
_symmetry_Int_Tables_number 1
_symmetry_space_group_name_Hall 'P 1'
_cell_length_a 3.913
_cell_length_b 5.504
_cell_length_c 6.649
_cell_angle_alpha 90.00
_cell_angle_beta 90.00
_cell_angle_gamma 90.00
loop_
_atom_site_label
_atom_site_type_symbol
_atom_site_fract_x
_atom_site_fract_y
_atom_site_fract_z
Y1 Y 0.000 0.000 0.000
Y2 Y 0.500 0.500 0.500
P1 P 0.000 0.500 0.197
P2 P 0.000 0.500 0.803
P3 P 0.500 0.000 0.303
P4 P 0.500 0.000 0.697
Os1 Os 0.000 0.000 0.500
Os2 Os 0.500 0.500 0.000
```

Space group ... No. 71
Energy ... -7.6766 eV per atom
ρ ... 7.91 g/cm³
Formation energy ... -0.55 eV per atom
Spin magnetization ... 0.00 μB per formula unit
Density of states at the Fermi level ... 0.804 states/eV/atom


4.
Computed, not measured: an optimized crystal structure of Y2POs at the PBE level of DFT.

```
data_Y2POs
_chemical_formula_sum 'Y8 P4 Os4'
_symmetry_space_group_name_H-M 'P 1'
_symmetry_Int_Tables_number 1
_symmetry_space_group_name_Hall 'P 1'
_cell_length_a 7.405
_cell_length_b 7.405
_cell_length_c 6.606
_cell_angle_alpha 90.00
_cell_angle_beta 90.00
_cell_angle_gamma 90.00
loop_
_atom_site_label
_atom_site_type_symbol
_atom_site_fract_x
_atom_site_fract_y
_atom_site_fract_z
Y1 Y 0.249 0.250 0.125
Y2 Y 0.250 0.749 0.375
Y3 Y 0.250 0.751 0.875
Y4 Y 0.251 0.250 0.625
Y5 Y 0.749 0.750 0.625
Y6 Y 0.750 0.249 0.875
Y7 Y 0.750 0.251 0.375
Y8 Y 0.751 0.750 0.125
P1 P 0.000 0.000 0.500
P2 P 0.000 0.500 0.750
P3 P 0.500 0.000 0.250
P4 P 0.500 0.500 0.000
Os1 Os 0.000 0.000 0.000
Os2 Os 0.000 0.500 0.250
Os3 Os 0.500 0.000 0.750
Os4 Os 0.500 0.500 0.500
```

Space group ... No. 122
Energy ... -7.4604 eV per atom
ρ ... 7.32 g/cm³
Formation energy ... -0.07 eV per atom
Spin magnetization ... 0.00 μB per formula unit
Density of states at the Fermi level ... 0.589 states/eV/atom


5.
Computed, not measured: an optimized crystal structure of Y2POs at the PBE level of DFT.

```
data_Y2POs
_chemical_formula_sum 'Y2 P1 Os1'
_symmetry_space_group_name_H-M 'P 1'
_symmetry_Int_Tables_number 1
_symmetry_space_group_name_Hall 'P 1'
_cell_length_a 3.530
_cell_length_b 3.530
_cell_length_c 6.527
_cell_angle_alpha 90.00
_cell_angle_beta 90.00
_cell_angle_gamma 90.00
loop_
_atom_site_label
_atom_site_type_symbol
_atom_site_fract_x
_atom_site_fract_y
_atom_site_fract_z
Y1 Y 0.000 0.000 0.246
Y2 Y 0.000 0.000 0.754
P1 P 0.500 0.500 0.000
Os1 Os 0.500 0.500 0.500
```

Space group ... No. 123
Energy ... -7.9762 eV per atom
ρ ... 8.15 g/cm³
Formation energy ... -0.58 eV per atom
Spin magnetization ... 0.00 μB per formula unit
Density of states at the Fermi level ... 0.769 states/eV/atom


6.
Computed, not measured: an optimized crystal structure of Y2POs at the PBE level of DFT.

```
data_Y2POs
_chemical_formula_sum 'Y6 P3 Os3'
_symmetry_space_group_name_H-M 'P 1'
_symmetry_Int_Tables_number 1
_symmetry_space_group_name_Hall 'P 1'
_cell_length_a 3.793
_cell_length_b 3.793
_cell_length_c 21.847
_cell_angle_alpha 90.00
_cell_angle_beta 90.00
_cell_angle_gamma 120.00
loop_
_atom_site_label
_atom_site_type_symbol
_atom_site_fract_x
_atom_site_fract_y
_atom_site_fract_z
Y1 Y 0.000 0.000 0.245
Y2 Y 0.000 0.000 0.755
Y3 Y 0.333 0.667 0.422
Y4 Y 0.333 0.667 0.912
Y5 Y 0.667 0.333 0.088
Y6 Y 0.667 0.333 0.578
P1 P 0.000 0.000 0.500
P2 P 0.333 0.667 0.167
P3 P 0.667 0.333 0.833
Os1 Os 0.000 0.000 0.000
Os2 Os 0.333 0.667 0.667
Os3 Os 0.667 0.333 0.333
```

Space group ... No. 166
Energy ... -7.8133 eV per atom
ρ ... 7.30 g/cm³
Formation energy ... -0.42 eV per atom
Spin magnetization ... 0.00 μB per formula unit
Density of states at the Fermi level ... 0.288 states/eV/atom


7.
Computed, not measured: an optimized crystal structure of Y2POs at the PBE level of DFT.

```
data_Y2POs
_chemical_formula_sum 'Y8 P4 Os4'
_symmetry_space_group_name_H-M 'P 1'
_symmetry_Int_Tables_number 1
_symmetry_space_group_name_Hall 'P 1'
_cell_length_a 6.731
_cell_length_b 6.731
_cell_length_c 6.731
_cell_angle_alpha 90.00
_cell_angle_beta 90.00
_cell_angle_gamma 90.00
loop_
_atom_site_label
_atom_site_type_symbol
_atom_site_fract_x
_atom_site_fract_y
_atom_site_fract_z
Y1 Y 0.000 0.000 0.000
Y2 Y 0.000 0.500 0.500
Y3 Y 0.250 0.250 0.250
Y4 Y 0.250 0.750 0.750
Y5 Y 0.500 0.000 0.500
Y6 Y 0.500 0.500 0.000
Y7 Y 0.750 0.250 0.750
Y8 Y 0.750 0.750 0.250
P1 P 0.250 0.250 0.750
P2 P 0.250 0.750 0.250
P3 P 0.750 0.250 0.250
P4 P 0.750 0.750 0.750
Os1 Os 0.000 0.000 0.500
Os2 Os 0.000 0.500 0.000
Os3 Os 0.500 0.000 0.000
Os4 Os 0.500 0.500 0.500
```

Space group ... No. 216
Energy ... -7.4210 eV per atom
ρ ... 8.69 g/cm³
Formation energy ... -0.03 eV per atom
Spin magnetization ... 0.00 μB per formula unit
Density of states at the Fermi level ... 0.832 states/eV/atom


8.
Computed, not measured: an optimized crystal structure of Y3POs at the PBE level of DFT.

```
data_Y3POs
_chemical_formula_sum 'Y3 P1 Os1'
_symmetry_space_group_name_H-M 'P 1'
_symmetry_Int_Tables_number 1
_symmetry_space_group_name_Hall 'P 1'
_cell_length_a 5.300
_cell_length_b 5.300
_cell_length_c 5.300
_cell_angle_alpha 90.00
_cell_angle_beta 90.00
_cell_angle_gamma 90.00
loop_
_atom_site_label
_atom_site_type_symbol
_atom_site_fract_x
_atom_site_fract_y
_atom_site_fract_z
Y1 Y 0.000 0.000 0.500
Y2 Y 0.000 0.500 0.000
Y3 Y 0.500 0.000 0.000
P1 P 0.500 0.500 0.500
Os1 Os 0.000 0.000 0.000
```

Space group ... No. 221
Energy ... -7.1443 eV per atom
ρ ... 5.44 g/cm³
Formation energy ... 0.06 eV per atom
Spin magnetization ... 0.00 μB per formula unit
Density of states at the Fermi level ... 1.275 states/eV/atom